(1)
VASP calculation (PBE) on crystalline AgTeNO at its relaxed geometry.

Properties
- offset from the most stable computed form (eV/atom) = 0.000
- space-group type = No. 26
- crystal system = orthorhombic

Cell and atoms, written as POSCAR:
```
AgTeNO
1.0
-2.1201 -3.6722 0.0000
0.0000 0.0000 5.1900
-4.7481 2.7413 0.0000
Ag N O Te
2 2 2 2
Direct
0.5000 0.9820 0.1940
0.5000 0.4820 0.8060
0.0000 0.8551 0.3541
0.0000 0.3551 0.6459
0.5000 0.4463 0.2540
0.5000 0.9463 0.7460
0.0000 0.4707 0.2915
0.0000 0.9707 0.7085
```

(2)
VASP calculation (PBE) on crystalline NaU2S6 at its relaxed geometry.

Properties
- space-group type = No. 71
- crystal system = orthorhombic

Cell and atoms, written as POSCAR:
```
NaU2S6
1.0
-5.0467 7.8593 4.3863
-8.5778 5.7095 -0.5478
5.9096 -8.4303 0.6952
Na S U
1 6 2
Direct
0.0000 0.0000 0.0000
0.2252 0.2252 0.0000
0.7748 0.7748 0.0000
0.6563 0.3995 0.2569
0.8574 0.6005 0.2569
0.3437 0.6005 0.7431
0.1426 0.3995 0.7431
0.6752 0.1752 0.5000
0.3248 0.8248 0.5000
```

(3)
VASP calculation (PBE) on crystalline DyPaPO at its relaxed geometry.

Properties
- offset from the most stable computed form (eV/atom) = 0.028
- space-group type = No. 129
- crystal system = tetragonal

Cell and atoms, written as POSCAR:
```
DyPaPO
1.0
4.1532 0.0000 0.0000
0.0000 4.1532 0.0000
0.0000 0.0000 8.9981
Dy O P Pa
2 2 2 2
Direct
0.7500 0.2500 0.5000
0.2500 0.7500 0.5000
0.7500 0.2500 0.0000
0.2500 0.7500 0.0000
0.7500 0.7500 0.2832
0.2500 0.2500 0.7168
0.2500 0.2500 0.1387
0.7500 0.7500 0.8613
```

(4)
VASP calculation (PBE) on crystalline NaNiGeB at its relaxed geometry.

Properties
- offset from the most stable computed form (eV/atom) = 0.092
- space-group type = No. 216
- crystal system = cubic

Cell and atoms, written as POSCAR:
```
NaNiGeB
1.0
-0.0032 0.3944 4.1944
-3.3315 -1.2876 2.2343
0.2942 -3.4233 2.4379
B Ge Na Ni
1 1 1 1
Direct
0.0000 0.0000 0.0000
0.2500 0.2500 0.2500
0.7500 0.7500 0.7500
0.5000 0.5000 0.5000
```

(5)
VASP calculation (PBE) on crystalline Y2NbFeC6 at its relaxed geometry.

Properties
- space-group type = No. 14
- crystal system = monoclinic

Cell and atoms, written as POSCAR:
```
Y2NbFeC6
1.0
-1.9163 3.8609 -3.3475
0.5460 -3.7358 -4.6207
-7.2622 -1.2750 2.6879
C Fe Nb Y
12 2 2 4
Direct
0.7272 0.2027 0.0273
0.8147 0.7365 0.0757
0.9068 0.8753 0.2200
0.4068 0.6247 0.2800
0.3147 0.7636 0.4243
0.2271 0.2973 0.4727
0.7729 0.7027 0.5273
0.6853 0.2364 0.5757
0.5932 0.3753 0.7200
0.0932 0.1247 0.7800
0.1853 0.2635 0.9243
0.2728 0.7973 0.9727
0.0000 0.0000 0.0000
0.5000 0.5000 0.5000
0.5000 0.5000 0.0000
0.0000 0.0000 0.5000
0.4793 0.0406 0.2380
0.9793 0.4594 0.2621
0.0207 0.5406 0.7379
0.5207 0.9594 0.7620
```

(6)
VASP calculation (PBE) on crystalline RbSmPO at its relaxed geometry.

Properties
- offset from the most stable computed form (eV/atom) = 0.000
- space-group type = No. 26
- crystal system = orthorhombic

Cell and atoms, written as POSCAR:
```
RbSmPO
1.0
3.5487 0.0000 0.0000
0.0000 8.0181 0.0000
0.0000 0.0000 7.9468
O P Rb Sm
2 2 2 2
Direct
0.0000 0.2567 0.3845
0.0000 0.7433 0.8845
0.5000 0.8009 0.3143
0.5000 0.1991 0.8143
0.0000 0.4434 0.0931
0.0000 0.5566 0.5931
0.5000 0.1248 0.4621
0.5000 0.8752 0.9621
```

(7)
VASP calculation (PBE) on crystalline BW5N6 at its relaxed geometry.

Properties
- space-group type = No. 11
- crystal system = monoclinic

Cell and atoms, written as POSCAR:
```
BW5N6
1.0
5.1178 0.0000 0.0000
-1.4352 5.0692 0.0000
-0.0060 -0.0067 10.3244
B N W
2 12 10
Direct
0.5942 0.4456 0.2498
0.4058 0.5544 0.7502
0.0650 0.4428 0.1026
0.9055 0.9332 0.1207
0.5334 0.2561 0.1346
0.5340 0.2567 0.3651
0.9057 0.9333 0.3792
0.0652 0.4429 0.3974
0.9348 0.5571 0.6026
0.0943 0.0667 0.6208
0.4660 0.7433 0.6349
0.4666 0.7439 0.8654
0.0945 0.0668 0.8793
0.9350 0.5572 0.8974
0.2214 0.8252 0.0094
0.0326 0.6831 0.2499
0.5854 0.9376 0.2499
0.1666 0.2086 0.2500
0.2211 0.8250 0.4907
0.7789 0.1750 0.5093
0.8334 0.7914 0.7500
0.4146 0.0624 0.7501
0.9674 0.3169 0.7501
0.7786 0.1748 0.9906
```

(8)
VASP calculation (PBE) on crystalline RbInHg at its relaxed geometry.

Properties
- offset from the most stable computed form (eV/atom) = 0.252
- space-group type = No. 216
- crystal system = cubic

Cell and atoms, written as POSCAR:
```
RbInHg
1.0
-3.6287 1.0253 4.3969
-3.5265 4.5921 -0.1659
-5.6992 -0.7493 -0.7134
Hg In Rb
1 1 1
Direct
0.2500 0.2500 0.2500
0.7500 0.7500 0.7500
0.0000 0.0000 0.0000
```

(9)
VASP calculation (PBE) on crystalline Cs2K2RbReO6 at its relaxed geometry.

Properties
- offset from the most stable computed form (eV/atom) = 0.011
- space-group type = No. 12
- crystal system = monoclinic

Cell and atoms, written as POSCAR:
```
Cs2K2RbReO6
1.0
3.3975 -5.9322 0.0000
3.3975 5.9322 0.0000
-2.1457 0.0000 5.8397
Cs K O Rb Re
2 2 6 1 1
Direct
0.6696 0.3304 0.0000
0.3304 0.6696 0.0000
0.8530 0.1470 0.5000
0.1470 0.8530 0.5000
0.8256 0.8256 0.1866
0.2880 0.0591 0.1935
0.0591 0.2880 0.1935
0.9409 0.7120 0.8065
0.7120 0.9409 0.8065
0.1744 0.1744 0.8134
0.5000 0.5000 0.5000
0.0000 0.0000 0.0000
```

(10)
VASP calculation (PBE) on crystalline ZrCuSbW at its relaxed geometry.

Properties
- offset from the most stable computed form (eV/atom) = 0.000
- space-group type = No. 216
- crystal system = cubic

Cell and atoms, written as POSCAR:
```
ZrCuSbW
1.0
0.0000 3.2986 3.2986
3.2986 0.0000 3.2986
3.2986 3.2986 0.0000
Cu Sb W Zr
1 1 1 1
Direct
0.7500 0.7500 0.7500
0.0000 0.0000 0.0000
0.2500 0.2500 0.2500
0.5000 0.5000 0.5000
```

(11)
VASP calculation (PBE) on crystalline KDySO at its relaxed geometry.

Properties
- offset from the most stable computed form (eV/atom) = 0.030
- space-group type = No. 5
- crystal system = monoclinic

Cell and atoms, written as POSCAR:
```
KDySO
1.0
5.6542 0.0000 -0.6398
0.0000 5.6853 0.0000
-1.6099 0.0000 11.0770
Dy K O S
4 4 4 4
Direct
0.5488 0.3629 0.0975
0.0489 0.8629 0.0976
0.9511 0.3629 0.9024
0.4512 0.8629 0.9025
0.9484 0.1120 0.3964
0.4486 0.6112 0.3966
0.5514 0.1112 0.6034
0.0516 0.6120 0.6036
0.7501 0.1132 0.0000
0.2499 0.6132 0.0000
0.7500 0.6132 0.0002
0.2500 0.1132 0.9998
0.8945 0.6121 0.2884
0.3949 0.1126 0.2887
0.6051 0.6126 0.7113
0.1055 0.1121 0.7116
```

(12)
VASP calculation (PBE) on crystalline LaPmTe at its relaxed geometry.

Properties
- offset from the most stable computed form (eV/atom) = 0.000
- space-group type = No. 216
- crystal system = cubic

Cell and atoms, written as POSCAR:
```
LaPmTe
1.0
0.0000 3.7230 3.7230
3.7230 0.0000 3.7230
3.7230 3.7230 0.0000
La Pm Te
1 1 1
Direct
0.2500 0.2500 0.2500
0.7500 0.7500 0.7500
0.0000 0.0000 0.0000
```

These records have volume values of 15.082, 21.543, 19.401, 13.219, 12.379, 28.265, 11.160, 45.807, 19.617, 17.946, 21.889, 34.403 Å³ per atom, in the order they appear.
These records have E_tot values of -0.3418, -0.4820, -0.5485, -0.2770, -0.6205, -0.3988, -0.7419, -0.0767, -0.4037, -0.5159, -0.4404, -0.3664 Ry/atom, in the order they appear.
These records have density values of 7.307, 5.922, 9.426, 5.186, 5.347, 4.154, 12.573, 4.844, 5.020, 10.649, 4.735, 6.621 g/cm³, in the order they appear.